Computed, not measured: a relaxed Ba2RhAu crystal at the PBE level of DFT.

The structure in CIF format:
```
data_Ba2RhAu
_chemical_formula_sum 'Ba2 Rh1 Au1'
_cell_length_a 5.3467
_cell_length_b 5.3467
_cell_length_c 5.3467
_cell_angle_alpha 60.00
_cell_angle_beta 60.00
_cell_angle_gamma 60.00
_space_group_name_H-M_alt 'P 1'
_space_group_IT_number 1
_space_group_name_Hall 'P 1'
loop_
_atom_site_label
_atom_site_type_symbol
_atom_site_fract_x
_atom_site_fract_y
_atom_site_fract_z
Ba1 Ba 0.0000 0.0000 0.0000
Ba2 Ba 0.7500 0.7500 0.7500
Rh1 Rh 0.2500 0.2500 0.2500
Au1 Au 0.5000 0.5000 0.5000
```

Results
For the formation energy, the calculation gives -8.5 kJ per mole of atoms. Its density of states at the Fermi level is 1.3 states/eV per cell.

---

Computed, not measured: a relaxed PmTm6Th2 crystal at the PBE level of DFT.

The structure in CIF format:
```
data_PmTm6Th2
_chemical_formula_sum 'Pm2 Tm12 Th4'
_cell_length_a 6.0578
_cell_length_b 11.7280
_cell_length_c 11.7280
_cell_angle_alpha 96.29
_cell_angle_beta 60.52
_cell_angle_gamma 60.52
_space_group_name_H-M_alt 'P 1'
_space_group_IT_number 1
_space_group_name_Hall 'P 1'
loop_
_atom_site_label
_atom_site_type_symbol
_atom_site_fract_x
_atom_site_fract_y
_atom_site_fract_z
Pm1 Pm 0.2500 0.2498 0.7502
Pm2 Pm 0.7500 0.7502 0.2498
Tm1 Tm 0.3299 0.6656 0.4993
Tm2 Tm 0.1701 0.5007 0.3344
Tm3 Tm 0.6701 0.3344 0.5007
Tm4 Tm 0.8299 0.4993 0.6656
Tm5 Tm 0.9193 0.9159 0.4159
Tm6 Tm 0.5807 0.5841 0.0841
Tm7 Tm 0.0807 0.0841 0.5841
Tm8 Tm 0.4193 0.4159 0.9159
Tm9 Tm 0.1703 0.8345 0.0005
Tm10 Tm 0.3297 0.9995 0.1655
Tm11 Tm 0.8297 0.1655 0.9995
Tm12 Tm 0.6703 0.0005 0.8345
Th1 Th 0.0002 0.6689 0.8310
Th2 Th 0.4998 0.1690 0.3311
Th3 Th 0.9998 0.3311 0.1690
Th4 Th 0.5002 0.8310 0.6689
```

Results
For the formation energy, the calculation gives 13.1 kJ per mole of atoms. Its density of states at the Fermi level is 30.5 states/eV per cell. The energy above the most stable polymorph in this dataset is 0.000 eV/atom.

---

Computed, not measured: a relaxed TiPPd6 crystal at the PBE level of DFT.

The structure in CIF format:
```
data_TiPPd6
_chemical_formula_sum 'Ti1 P1 Pd6'
_cell_length_a 5.1694
_cell_length_b 5.1694
_cell_length_c 5.1811
_cell_angle_alpha 96.93
_cell_angle_beta 96.93
_cell_angle_gamma 96.99
_space_group_name_H-M_alt 'P 1'
_space_group_IT_number 1
_space_group_name_Hall 'P 1'
loop_
_atom_site_label
_atom_site_type_symbol
_atom_site_fract_x
_atom_site_fract_y
_atom_site_fract_z
Ti1 Ti 0.0000 0.0000 0.0000
P1 P 0.5000 0.5000 0.5000
Pd1 Pd 0.1925 0.1925 0.5821
Pd2 Pd 0.5807 0.1926 0.1923
Pd3 Pd 0.8075 0.8075 0.4179
Pd4 Pd 0.8074 0.4193 0.8077
Pd5 Pd 0.4193 0.8074 0.8077
Pd6 Pd 0.1926 0.5807 0.1923
```

Results
For the formation energy, the calculation gives -21.3 kJ per mole of atoms. Its density of states at the Fermi level is 6.9 states/eV per cell.

---

Computed, not measured: a relaxed PmTh3Si4 crystal at the PBE level of DFT.

The structure in CIF format:
```
data_PmTh3Si4
_chemical_formula_sum 'Pm1 Th3 Si4'
_cell_length_a 4.1326
_cell_length_b 6.3865
_cell_length_c 8.8607
_cell_angle_alpha 111.12
_cell_angle_beta 103.49
_cell_angle_gamma 90.00
_space_group_name_H-M_alt 'P 1'
_space_group_IT_number 1
_space_group_name_Hall 'P 1'
loop_
_atom_site_label
_atom_site_type_symbol
_atom_site_fract_x
_atom_site_fract_y
_atom_site_fract_z
Pm1 Pm 0.5000 0.0000 0.0000
Th1 Th 0.0000 0.5000 0.0000
Th2 Th 0.1952 0.1952 0.3905
Th3 Th 0.8048 0.8048 0.6095
Si1 Si 0.3683 0.5555 0.7366
Si2 Si 0.6317 0.4445 0.2634
Si3 Si 0.6316 0.8186 0.2633
Si4 Si 0.3684 0.1814 0.7367
```

Results
The value obtained for the energy relative to the elements, uncorrected is -0.5366 eV/atom. Its density of states at the Fermi level is 6.6 states/eV per cell.